VASP calculation (PBE) on a relaxed structure of Rb2LaTlI6.

## Properties
electronic total energy	-3.141	eV/atom
raw formation energy	-124	kJ/mol of atoms
density of states at the Fermi level	0.00	states/eV/atom
polymorph energy (0 for the lowest one)	0.68	eV per formula unit

Geometry as extended XYZ:
```
10
Lattice="0.000 6.520 6.520 6.520 0.000 6.520 6.520 6.520 0.000" Properties=species:S:1:pos:R:3 pbc="T T T"
Rb 3.260 3.260 3.260
Rb 9.780 9.780 9.780
La 0.000 0.000 0.000
Tl 6.520 6.520 6.520
I 6.520 6.520 3.147
I 6.520 3.147 6.520
I 9.893 6.520 6.520
I 3.147 6.520 6.520
I 6.520 9.893 6.520
I 6.520 6.520 9.893
```